Record 1
Below is La4Ir2Pt after structural relaxation, with properties calculated at the PBE level.

Unit cell a=7.8454 b=7.8454 c=7.8454 alpha=109.14 beta=110.14 gamma=109.14
Atoms (fractional coordinates):
La  0.6177  0.7485  0.9882
La  0.0118  0.6295  0.7604
La  0.1308  0.3705  0.3823
La  0.7382  0.2485  0.8677
La  0.5104  0.1295  0.2618
La  0.6192  0.7515  0.4896
La  0.1323  0.8705  0.3808
La  0.2396  0.2515  0.8692
Pt  0.7500  0.5000  0.2500
Pt  0.0000  0.0000  0.0000
Ir  0.5043  0.3793  0.6250
Ir  0.3750  0.8793  0.7543
Ir  0.2457  0.6207  0.1250
Ir  0.8750  0.1207  0.4957

DFT total energy (eV for the cell shown): -98.8
Size of the total moment (μB per formula unit): 0.0
Density of states at the Fermi level (states/eV/cell): 4.7
Energy relative to the elements (meV per atom): -847

Record 2
Below is La2IrPt after structural relaxation, with properties calculated at the PBE level.

Unit cell a=4.9493 b=4.9493 c=4.9493 alpha=60.00 beta=60.00 gamma=60.00
Atoms (fractional coordinates):
Ir  0.7501  0.7501  0.7501
Pt  0.4999  0.4999  0.4999
La  0.2500  0.2500  0.2500
La  0.0000  0.0000  0.0000

DFT total energy (eV for the cell shown): -26.9
Size of the total moment (μB per formula unit): 0.0
Density of states at the Fermi level (states/eV/cell): 3.9
Energy relative to the elements (meV per atom): -546

Record 3
Below is LaIrPt2 after structural relaxation, with properties calculated at the PBE level.

Unit cell a=4.5998 b=4.5998 c=9.6166 alpha=76.16 beta=76.16 gamma=90.00
Atoms (fractional coordinates):
Ir  0.7500  0.2500  0.5000
Ir  0.0000  0.0000  0.0000
Pt  0.9794  0.6250  0.2500
Pt  0.3750  0.2294  0.7500
Pt  0.8750  0.0206  0.7500
Pt  0.7706  0.1250  0.2500
La  0.2500  0.7500  0.5000
La  0.5000  0.5000  0.0000

DFT total energy (eV for the cell shown): -54.5
Size of the total moment (μB per formula unit): 0.0
Offset from the most stable computed form (meV per atom): 338.8
Density of states at the Fermi level (states/eV/cell): 6.6
Energy relative to the elements (meV per atom): -345

Record 4
Below is LaIr2Pt after structural relaxation, with properties calculated at the PBE level.

Unit cell a=3.0788 b=4.9662 c=5.8929 alpha=53.54 beta=90.00 gamma=90.00
Atoms (fractional coordinates):
Ir  0.5000  0.5000  0.0000
Ir  0.0000  0.0000  0.0000
La  0.5000  0.5000  0.5000
Pt  0.0000  0.0000  0.5000

DFT total energy (eV for the cell shown): -29.5
Size of the total moment (μB per formula unit): 0.0
Offset from the most stable computed form (meV per atom): 128.3
Density of states at the Fermi level (states/eV/cell): 3.7
Energy relative to the elements (meV per atom): -207

Record 5
Below is La6IrPt3 after structural relaxation, with properties calculated at the PBE level.

Unit cell a=7.1153 b=7.7749 c=10.8999 alpha=90.00 beta=89.38 gamma=90.00
Atoms (fractional coordinates):
La  0.8387  0.9401  0.2458
La  0.8287  0.6837  0.9179
La  0.6798  0.1772  0.9222
La  0.6713  0.1837  0.5821
La  0.3287  0.8163  0.4179
La  0.8202  0.6772  0.5778
La  0.1713  0.3163  0.0821
La  0.3387  0.5599  0.7458
La  0.6613  0.4401  0.2542
La  0.1798  0.3228  0.4222
La  0.3202  0.8228  0.0778
La  0.1613  0.0599  0.7542
Pt  0.9510  0.3924  0.7461
Pt  0.5490  0.8924  0.7539
Pt  0.0490  0.6076  0.2539
Pt  0.0000  0.0000  0.5000
Pt  0.4510  0.1076  0.2461
Pt  0.5000  0.5000  0.0000
Ir  0.0000  0.0000  0.0000
Ir  0.5000  0.5000  0.5000

DFT total energy (eV for the cell shown): -131.1
Size of the total moment (μB per formula unit): 0.0
Density of states at the Fermi level (states/eV/cell): 15.0
Energy relative to the elements (meV per atom): -903

Record 6
Below is La3IrPt2 after structural relaxation, with properties calculated at the PBE level.

Unit cell a=4.6060 b=7.3551 c=9.8323 alpha=91.14 beta=90.00 gamma=108.25
Atoms (fractional coordinates):
Pt  0.3316  0.6631  0.1660
Pt  0.8337  0.6675  0.6660
Pt  0.6684  0.3369  0.8340
Pt  0.1663  0.3325  0.3340
La  0.3107  0.6215  0.8627
La  0.9721  0.9443  0.1918
La  0.3658  0.7317  0.4709
La  0.6893  0.3785  0.1373
La  0.6342  0.2683  0.5291
La  0.0279  0.0557  0.8082
Ir  0.5000  0.0000  0.0000
Ir  0.0000  0.0000  0.5000

DFT total energy (eV for the cell shown): -83.9
Size of the total moment (μB per formula unit): 0.0
Density of states at the Fermi level (states/eV/cell): 6.4
Energy relative to the elements (meV per atom): -1040

Record 7
Below is LaIr2Pt after structural relaxation, with properties calculated at the PBE level.

Unit cell a=5.1369 b=5.1369 c=5.1369 alpha=131.94 beta=131.86 gamma=70.39
Atoms (fractional coordinates):
Ir  0.9999  0.9999  0.0000
Ir  0.7504  0.2504  0.5000
Pt  0.2497  0.7497  0.5000
La  0.5000  0.5000  0.0000

DFT total energy (eV for the cell shown): -29.4
Size of the total moment (μB per formula unit): 0.0
Offset from the most stable computed form (meV per atom): 159.5
Density of states at the Fermi level (states/eV/cell): 4.6
Energy relative to the elements (meV per atom): -176

Record 8
Below is LaIr2Pt after structural relaxation, with properties calculated at the PBE level.

Unit cell a=4.4967 b=4.4967 c=9.6937 alpha=76.59 beta=76.59 gamma=90.00
Atoms (fractional coordinates):
Ir  0.9813  0.6250  0.2500
Ir  0.3750  0.2313  0.7500
Ir  0.7687  0.1250  0.2500
Ir  0.8750  0.0187  0.7500
La  0.2500  0.7500  0.5000
La  0.5000  0.5000  0.0000
Pt  0.7500  0.2500  0.5000
Pt  0.0000  0.0000  0.0000

DFT total energy (eV for the cell shown): -59.5
Size of the total moment (μB per formula unit): 0.0
Offset from the most stable computed form (meV per atom): 72.7
Density of states at the Fermi level (states/eV/cell): 1.5
Energy relative to the elements (meV per atom): -262

Record 9
Below is La2IrPt after structural relaxation, with properties calculated at the PBE level.

Unit cell a=3.6238 b=3.6238 c=7.2657 alpha=90.00 beta=90.00 gamma=90.00
Atoms (fractional coordinates):
Pt  0.5000  0.5000  0.5000
Ir  0.5000  0.5000  0.0000
La  0.0000  0.0000  0.2413
La  0.0000  0.0000  0.7587

DFT total energy (eV for the cell shown): -28.2
Size of the total moment (μB per formula unit): 0.0
Density of states at the Fermi level (states/eV/cell): 2.5
Energy relative to the elements (meV per atom): -864

Record 10
Below is LaIrPt2 after structural relaxation, with properties calculated at the PBE level.

Unit cell a=3.6050 b=3.6050 c=5.9942 alpha=90.00 beta=90.00 gamma=90.01
Atoms (fractional coordinates):
Ir  0.5000  0.5000  0.2500
Pt  0.0000  0.0000  0.4666
Pt  0.0000  0.0000  0.0334
La  0.5000  0.5000  0.7500

DFT total energy (eV for the cell shown): -27.0
Size of the total moment (μB per formula unit): 0.0
Offset from the most stable computed form (meV per atom): 395.0
Density of states at the Fermi level (states/eV/cell): 3.5
Energy relative to the elements (meV per atom): -289

Record 11
Below is La4IrPt3 after structural relaxation, with properties calculated at the PBE level.

Unit cell a=3.9952 b=4.5023 c=11.1642 alpha=90.00 beta=90.00 gamma=90.00
Atoms (fractional coordinates):
Pt  0.5000  0.0000  0.9081
Pt  0.0000  0.5000  0.5915
Pt  0.0000  0.0000  0.4111
La  0.0000  0.0000  0.1356
La  0.5000  0.0000  0.6342
La  0.5000  0.5000  0.3556
La  0.0000  0.5000  0.8705
Ir  0.5000  0.5000  0.0934

DFT total energy (eV for the cell shown): -55.3
Size of the total moment (μB per formula unit): 0.0
Density of states at the Fermi level (states/eV/cell): 5.7
Energy relative to the elements (meV per atom): -1082

Record 12
Below is LaIrPt3 after structural relaxation, with properties calculated at the PBE level.

Unit cell a=4.9106 b=4.9106 c=4.9106 alpha=90.00 beta=90.00 gamma=90.00
Site moments in Bohr magnetons follow the coordinates.
Atoms (fractional coordinates):
Ir  0.0000  0.0000  0.0000  0.65
Pt  0.5000  0.0000  0.0000  0.07
Pt  0.0000  0.5000  0.0000  0.15
Pt  0.0000  0.0000  0.5000  0.44
La  0.5000  0.5000  0.5000  -0.01

DFT total energy (eV for the cell shown): -31.4
Size of the total moment (μB per formula unit): 1.3
Offset from the most stable computed form (meV per atom): 0.0
Density of states at the Fermi level (states/eV/cell): 5.0
Energy relative to the elements (meV per atom): 95